one.
{
  "formula": "NbPd2Au",
  "functional": "PBE",
  "state": "relaxed",
  "cell": [[2.9131, 0.0000, 0.0000], [0.0000, 4.0709, 0.0000], [0.0000, 0.0000, 5.5527]],
  "species": ["Pd", "Au", "Nb", "Pd"],
  "frac_coords": [[0.0000, 0.5000, 0.3817], [0.5000, 0.0000, 0.1318], [0.0000, 0.5000, 0.8674], [0.5000, 0.0000, 0.6336]],
  "mass_density_g_cm3": 12.68
}



two.
{
  "formula": "NbPd2Au",
  "functional": "PBE",
  "state": "relaxed",
  "cell": [[-1.3011, 4.6977, -0.6562], [0.0735, -1.3331, -4.7602], [-4.8891, -2.7422, 0.7124]],
  "species": ["Pd", "Nb", "Au", "Nb", "Au", "Pd", "Pd", "Pd"],
  "frac_coords": [[0.8842, 0.1701, 0.1264], [0.3946, 0.4183, 0.0334], [0.3505, 0.4151, 0.5222], [0.8467, 0.1505, 0.6160], [0.8810, 0.6621, 0.8833], [0.8596, 0.6615, 0.3827], [0.3721, 0.9295, 0.7768], [0.3815, 0.9230, 0.2707]],
  "mass_density_g_cm3": 12.68
}



three.
{
  "formula": "NbPd2Au",
  "functional": "PBE",
  "state": "relaxed",
  "cell": [[7.2416, 0.0000, 0.0000], [0.0000, 7.2416, 0.0000], [3.6208, 3.6208, 2.7848]],
  "species": ["Pd", "Nb", "Pd", "Pd", "Pd", "Au", "Au", "Nb"],
  "frac_coords": [[0.1429, 0.6250, 0.2500], [0.2500, 0.7500, 0.5000], [0.6071, 0.1250, 0.2500], [0.3750, 0.3929, 0.7500], [0.8750, 0.8571, 0.7500], [0.0000, 0.0000, 0.0000], [0.7500, 0.2500, 0.5000], [0.5000, 0.5000, 0.0000]],
  "mass_density_g_cm3": 11.43
}



Most stable = two



one.
{
  "formula": "NbPd2Au",
  "functional": "PBE",
  "state": "relaxed",
  "cell": [[5.5702, 0.0000, 0.0000], [0.0000, 4.7243, 0.0000], [0.0000, 0.0000, 4.9818]],
  "species": ["Au", "Pd", "Pd", "Au", "Nb", "Nb", "Pd", "Pd"],
  "frac_coords": [[0.2515, 0.5000, 0.2047], [0.7506, 0.0000, 0.8856], [0.0000, 0.0000, 0.3987], [0.7485, 0.5000, 0.2047], [0.0000, 0.5000, 0.7041], [0.5000, 0.0000, 0.4064], [0.2494, 0.0000, 0.8856], [0.5000, 0.5000, 0.6987]],
  "mass_density_g_cm3": 12.74
}



two.
{
  "formula": "NbPd2Au",
  "functional": "PBE",
  "state": "relaxed",
  "cell": [[-0.6601, -3.5800, 3.2415], [-1.6214, -1.4346, -1.9146], [7.8723, -3.0775, -4.3608]],
  "species": ["Au", "Nb", "Au", "Nb", "Pd", "Pd", "Pd", "Pd"],
  "frac_coords": [[0.8672, 0.0000, 0.5965], [0.1327, 0.5000, 0.8487], [0.8672, 0.5000, 0.0965], [0.1327, 0.0000, 0.3487], [0.3623, 0.0000, 0.0965], [0.6233, 0.5000, 0.3455], [0.3623, 0.5000, 0.5965], [0.6233, 0.0000, 0.8455]],
  "mass_density_g_cm3": 12.67
}



Most stable = one



one.
{
  "formula": "NbPd6Au",
  "functional": "PBE",
  "state": "relaxed",
  "cell": [[-6.2912, -2.4283, -1.7711], [-1.3386, -7.2515, -1.0409], [-3.0433, -3.5585, 1.9951]],
  "species": ["Nb", "Pd", "Pd", "Pd", "Pd", "Pd", "Pd", "Au"],
  "frac_coords": [[0.5000, 0.5000, 0.5000], [0.5246, 0.7509, 0.6821], [0.4754, 0.2491, 0.3179], [0.9575, 0.4756, 0.8165], [0.2493, 0.0399, 0.2341], [0.0425, 0.5244, 0.1835], [0.7507, 0.9601, 0.7659], [0.0000, 0.0000, 0.0000]],
  "mass_density_g_cm3": 11.79
}



two.
{
  "formula": "NbPd6Au",
  "functional": "PBE",
  "state": "relaxed",
  "cell": [[3.9876, 0.0000, 0.0000], [0.0000, 3.9876, 0.0000], [0.0000, 0.0000, 7.9848]],
  "species": ["Pd", "Pd", "Pd", "Nb", "Pd", "Au", "Pd", "Pd"],
  "frac_coords": [[0.5000, 0.5000, 0.0000], [0.5000, 0.0000, 0.2605], [0.5000, 0.5000, 0.5000], [0.0000, 0.0000, 0.5000], [0.0000, 0.5000, 0.2605], [0.0000, 0.0000, 0.0000], [0.0000, 0.5000, 0.7395], [0.5000, 0.0000, 0.7395]],
  "mass_density_g_cm3": 12.14
}



Most stable = two



one.
{
  "formula": "NbPd2Au3",
  "functional": "PBE",
  "state": "relaxed",
  "cell": [[5.7046, -0.4625, -0.4256], [-0.3142, 6.6633, -3.2802], [-0.3142, -2.7163, 6.9123]],
  "species": ["Pd", "Au", "Au", "Nb", "Pd", "Au", "Au", "Au", "Pd", "Pd", "Au", "Nb"],
  "frac_coords": [[0.5000, 0.1411, 0.8589], [0.1726, 0.7261, 0.7261], [0.8274, 0.2739, 0.2739], [0.3299, 0.2635, 0.2635], [0.5000, 0.8589, 0.1411], [0.7488, 0.6821, 0.3203], [0.7488, 0.3203, 0.6822], [0.2512, 0.6797, 0.3178], [0.0000, 0.8588, 0.1412], [0.0000, 0.1412, 0.8588], [0.2512, 0.3179, 0.6797], [0.6701, 0.7365, 0.7365]],
  "mass_density_g_cm3": 14.24
}



two.
{
  "formula": "NbPd2Au3",
  "functional": "PBE",
  "state": "relaxed",
  "cell": [[2.8347, 0.0000, 0.0000], [0.0000, 8.3521, -0.4102], [-1.4174, -2.5467, 9.0430]],
  "species": ["Au", "Au", "Nb", "Pd", "Au", "Au", "Au", "Pd", "Nb", "Pd", "Au", "Pd"],
  "frac_coords": [[0.0684, 0.7913, 0.1367], [0.6927, 0.7192, 0.3854], [0.6830, 0.0512, 0.3661], [0.3058, 0.6274, 0.6116], [0.4404, 0.5651, 0.8807], [0.3073, 0.2808, 0.6146], [0.5596, 0.4349, 0.1193], [0.9286, 0.8684, 0.8573], [0.3170, 0.9488, 0.6339], [0.6942, 0.3726, 0.3884], [0.9316, 0.2087, 0.8633], [0.0714, 0.1316, 0.1427]],
  "mass_density_g_cm3": 14.10
}



Most stable = two